Entry 1:
DFT (PBE) results for crystalline Sn2HPd3 at its relaxed geometry.

Cell lengths 5.4020, 6.3896, 6.3896 Å; angles 115.47, 90.00, 90.00 degrees
With the nearest neighbours (Å) after each atom.
Atoms (fractional coordinates):
Pd (0.7990, 0.6528, 0.6528)  1 H 1.91
Pd (0.2990, 0.3472, 0.3472)  1 H 1.91
Pd (0.5065, 0.1257, 0.8611)  2 H 2.02
Pd (0.0065, 0.8743, 0.1389)  2 H 2.02
H (0.7588, 0.9310, 0.9310)  5 Pd 1.91-2.02
Sn (0.2485, 0.8128, 0.4884)  6 Pd 2.73-2.99
Pd (0.5065, 0.8611, 0.1257)  2 H 2.02
Sn (0.7485, 0.5116, 0.1872)  6 Pd 2.73-2.99
H (0.2588, 0.0690, 0.0690)  5 Pd 1.91-2.02
Pd (0.0065, 0.1389, 0.8743)  2 H 2.02
Sn (0.2485, 0.4884, 0.8128)  6 Pd 2.73-2.99
Sn (0.7485, 0.1872, 0.5116)  6 Pd 2.73-2.99

## Properties
SG   Cmc2_1 (36)
Total moment   0.00 μB per formula unit
Uncorrected energy   -57.6 eV for the cell shown
DOS(E_F)   2.46 states/eV/f.u.


Entry 2:
DFT (PBE) results for crystalline SrCa2GeBr8 at its relaxed geometry.

Cell lengths 6.9965, 6.6977, 8.8260 Å; angles 90.00, 90.00, 89.95 degrees
With the nearest neighbours (Å) after each atom.
Atoms (fractional coordinates):
Br (0.8365, 0.2354, 0.2332)  1 Ge 2.83, 1 Ca 2.95, 1 Sr 3.06
Br (0.1635, 0.7646, 0.7668)  1 Ge 2.83, 1 Ca 2.95, 1 Sr 3.06
Ca (0.5000, 0.5000, 0.2430)  6 Br 2.92-2.95
Br (0.1635, 0.7646, 0.2332)  1 Ge 2.83, 1 Ca 2.95, 1 Sr 3.06
Br (0.6693, 0.7389, 0.0000)  1 Ge 2.90, 2 Ca 2.93
Sr (0.0000, 0.0000, 0.5000)  6 Br 3.06
Br (0.6510, 0.7259, 0.5000)  2 Ca 2.92, 1 Sr 3.06
Ca (0.5000, 0.5000, 0.7570)  6 Br 2.92-2.95
Ge (0.0000, 0.0000, 0.0000)  6 Br 2.83-2.90
Br (0.3490, 0.2741, 0.5000)  2 Ca 2.92, 1 Sr 3.06
Br (0.8365, 0.2354, 0.7668)  1 Ge 2.83, 1 Ca 2.95, 1 Sr 3.06
Br (0.3307, 0.2611, 0.0000)  1 Ge 2.90, 2 Ca 2.93

## Properties
Energy relative to the elements, uncorrected   -1.66 eV per atom
SG   P2/m (10)
Total moment   0.00 μB per formula unit
DOS(E_F)   0.00 states/eV/f.u.


Entry 3:
DFT (PBE) results for crystalline MgCuBr at its relaxed geometry.

Cell lengths 7.0372, 5.8572, 5.8572 Å; angles 146.73, 151.64, 41.96 degrees
With the nearest neighbours (Å) after each atom.
Atoms (fractional coordinates):
Br (0.0089, 0.9995, 0.0094)  2 Cu 2.71, 2 Mg 2.74
Cu (0.2269, 0.3150, 0.9120)  2 Br 2.71, 4 Mg 2.76-2.79
Mg (0.7641, 0.6855, 0.0786)  2 Br 2.74, 4 Cu 2.76-2.79

## Properties
Energy relative to the elements, uncorrected   -0.20 eV per atom
SG   Cm (8)
Total moment   0.00 μB per formula unit
DOS(E_F)   0.76 states/eV/f.u.


Entry 4:
DFT (PBE) results for crystalline CsNa2CuSi at its relaxed geometry.

Cell lengths 5.7736, 5.7736, 4.6202 Å; angles 90.00, 90.00, 90.00 degrees
With the nearest neighbours (Å) after each atom.
Atoms (fractional coordinates):
Na (0.5000, 0.0000, 0.0000)  2 Si 2.89
Cu (0.0000, 0.0000, 0.5000)  2 Si 2.31
Cs (0.5000, 0.5000, 0.5000)  8 Na 3.70, 4 Cu 4.08
Na (0.0000, 0.5000, 0.0000)  2 Si 2.89
Si (0.0000, 0.0000, 0.0000)  2 Cu 2.31

## Properties
Energy relative to the elements, uncorrected   0.12 eV per atom
SG   P4/mmm (123)
Total moment   0.00 μB per formula unit
DOS(E_F)   0.81 states/eV/f.u.


Entry 5:
DFT (PBE) results for crystalline Tb5Pm2Ho3 at its relaxed geometry.

Cell lengths 9.4170, 9.4740, 11.1369 Å; angles 125.37, 125.25, 68.71 degrees
With the nearest neighbours (Å) after each atom.
Atoms (fractional coordinates):
Ho (0.9908, 0.2211, 0.7595)  1 Pm 3.16, 5 Tb 3.31-3.50, 1 Ho 3.39
Ho (0.7314, 0.4617, 0.2405)  1 Pm 3.16, 5 Tb 3.31-3.50, 1 Ho 3.39
Ho (0.0092, 0.7789, 0.2405)  1 Pm 3.16, 5 Tb 3.31-3.50, 1 Ho 3.39
Ho (0.2686, 0.5383, 0.7595)  1 Pm 3.16, 5 Tb 3.31-3.50, 1 Ho 3.39
Tb (0.3972, 0.1522, 0.7638)  3 Ho 3.43-3.62, 2 Pm 3.44-3.69, 3 Tb 3.54-3.67
Tb (0.9815, 0.2315, 0.4630)  5 Ho 3.31-3.50, 2 Pm 3.45, 2 Tb 3.57
Tb (0.7206, 0.4706, 0.9412)  1 Tb 3.13, 4 Ho 3.33-3.49
Pm (0.5329, 0.2667, 0.2527)  3 Ho 3.16-3.44, 4 Tb 3.29-3.54
Pm (0.4671, 0.7333, 0.7473)  3 Ho 3.16-3.44, 4 Tb 3.29-3.54
Tb (0.1334, 0.3884, 0.2362)  3 Ho 3.43-3.62, 2 Pm 3.44-3.69, 3 Tb 3.54-3.67
Tb (0.6028, 0.8478, 0.2362)  3 Ho 3.43-3.62, 2 Pm 3.44-3.69, 3 Tb 3.54-3.67
Tb (0.0185, 0.7685, 0.5370)  5 Ho 3.31-3.50, 2 Pm 3.45, 2 Tb 3.57
Tb (0.5237, 0.2737, 0.5474)  1 Tb 3.13, 2 Pm 3.29
Tb (0.8666, 0.6116, 0.7638)  3 Ho 3.43-3.62, 2 Pm 3.44-3.69, 3 Tb 3.54-3.67
Ho (0.7729, 0.0229, 0.0458)  4 Pm 3.32-3.44, 3 Tb 3.32-3.52, 2 Ho 3.39
Pm (0.2199, 0.9860, 0.2527)  3 Ho 3.16-3.44, 4 Tb 3.29-3.54
Ho (0.2271, 0.9771, 0.9542)  4 Pm 3.32-3.44, 3 Tb 3.32-3.52, 2 Ho 3.39
Pm (0.7801, 0.0140, 0.7473)  3 Ho 3.16-3.44, 4 Tb 3.29-3.54
Tb (0.4763, 0.7263, 0.4526)  1 Tb 3.13, 2 Pm 3.29
Tb (0.2794, 0.5294, 0.0588)  1 Tb 3.13, 4 Ho 3.33-3.49

## Properties
Calculated formation energy   0.196 eV per atom
SG   C2/c (15)
Total moment   0.00 μB per formula unit
DOS(E_F)   18.78 states/eV/f.u.


Entry 6:
DFT (PBE) results for crystalline SrHg2Ir at its relaxed geometry.

Cell lengths 5.6812, 5.6812, 5.6812 Å; angles 138.40, 127.89, 68.78 degrees
With the nearest neighbours (Å) after each atom.
Atoms (fractional coordinates):
Hg (0.9642, 0.9642, 0.0000)  2 Ir 2.85
Sr (0.2500, 0.7500, 0.5000)  8 Hg 3.20-3.35, 4 Ir 3.21
Ir (0.7500, 0.2500, 0.5000)  4 Hg 2.85
Hg (0.5358, 0.5358, 0.0000)  2 Ir 2.85

## Properties
Calculated formation energy   -0.007 eV per atom
SG   Immm (71)
Total moment   0.00 μB per formula unit
DOS(E_F)   1.73 states/eV/f.u.


Entry 7:
DFT (PBE) results for crystalline La5Pr2Nd12 at its relaxed geometry.

Cell lengths 7.2722, 10.1219, 10.7166 Å; angles 70.65, 90.00, 111.05 degrees
With the nearest neighbours (Å) after each atom.
Atoms (fractional coordinates):
La (0.3248, 0.6497, 0.2145)  2 Pr 3.66, 2 La 3.66, 9 Nd 3.77-4.04
Nd (0.4055, 0.3177, 0.1304)  6 Nd 3.49-3.76, 2 La 3.65-3.70, 1 Pr 3.74
La (0.6752, 0.3503, 0.7855)  2 Pr 3.66, 2 La 3.66, 9 Nd 3.77-4.04
Nd (0.5028, 0.0056, 0.3292)  7 Nd 3.49-3.84, 2 Pr 3.89
Pr (0.7212, 0.0000, 0.0000)  1 Pr 3.22, 2 Nd 3.22
Nd (0.5945, 0.6823, 0.8696)  6 Nd 3.49-3.76, 2 La 3.65-3.70, 1 Pr 3.74
Nd (0.9123, 0.3319, 0.4747)  6 Nd 3.41-3.74, 3 La 3.56-3.79
Nd (0.0878, 0.6823, 0.8696)  6 Nd 3.49-3.76, 2 La 3.65-3.70, 1 Pr 3.74
Pr (0.2788, 0.0000, 0.0000)  1 Pr 3.22, 2 Nd 3.22
Nd (0.5803, 0.6681, 0.5253)  6 Nd 3.41-3.74, 3 La 3.56-3.79
La (0.0000, 0.0000, 0.5000)  2 Nd 2.95
La (0.1880, 0.3759, 0.8140)  3 Nd 3.30-3.65, 2 La 3.66
Nd (0.4972, 0.9944, 0.6708)  7 Nd 3.49-3.84, 2 Pr 3.89
Nd (0.0283, 0.0565, 0.7538)  2 La 2.95-3.30, 2 Pr 3.22
Nd (0.9122, 0.3177, 0.1304)  6 Nd 3.49-3.76, 2 La 3.65-3.70, 1 Pr 3.74
Nd (0.4197, 0.3319, 0.4747)  6 Nd 3.41-3.74, 3 La 3.56-3.79
Nd (0.9717, 0.9435, 0.2462)  2 La 2.95-3.30, 2 Pr 3.22
La (0.8120, 0.6241, 0.1860)  3 Nd 3.30-3.65, 2 La 3.66
Nd (0.0877, 0.6681, 0.5253)  6 Nd 3.41-3.74, 3 La 3.56-3.79

## Properties
Calculated formation energy   0.149 eV per atom
SG   C2/m (12)
Total moment   0.00 μB per formula unit
DOS(E_F)   31.85 states/eV/f.u.


Entry 8:
DFT (PBE) results for crystalline Pa2S5 at its relaxed geometry.

Cell lengths 6.1852, 6.9340, 7.8496 Å; angles 96.04, 113.20, 90.00 degrees
With the nearest neighbours (Å) after each atom.
Atoms (fractional coordinates):
Pa (0.6068, 0.9095, 0.7738)  7 S 2.61-2.84
S (0.9705, 0.9276, 0.1739)  2 Pa 2.61-2.71
S (0.5815, 0.2500, 0.0000)  4 Pa 2.79-2.84
S (0.2035, 0.4276, 0.1739)  2 Pa 2.61-2.71
Pa (0.1669, 0.4095, 0.7738)  7 S 2.61-2.84
S (0.4185, 0.7500, 0.0000)  4 Pa 2.79-2.84
Pa (0.3932, 0.0905, 0.2262)  7 S 2.61-2.84
Pa (0.8331, 0.5905, 0.2262)  7 S 2.61-2.84
S (0.0295, 0.0724, 0.8261)  2 Pa 2.61-2.71
S (0.1994, 0.6778, 0.5589)  3 Pa 2.70-2.80
S (0.3595, 0.1778, 0.5589)  3 Pa 2.70-2.80
S (0.7965, 0.5724, 0.8261)  2 Pa 2.61-2.71
S (0.6405, 0.8222, 0.4411)  3 Pa 2.70-2.80
S (0.8006, 0.3222, 0.4411)  3 Pa 2.70-2.80

## Properties
Energy relative to the elements, uncorrected   -1.52 eV per atom
SG   C2/c (15)
Total moment   0.00 μB per formula unit


Entry 9:
DFT (PBE) results for crystalline SmAgO at its relaxed geometry.

Cell lengths 3.9538, 3.9538, 7.6661 Å; angles 89.99, 90.01, 90.00 degrees
With the nearest neighbours (Å) after each atom.
Atoms (fractional coordinates):
O (0.7500, 0.7500, 0.5000)  4 Sm 2.29
Sm (0.2500, 0.7500, 0.3480)  4 O 2.29
Ag (0.7500, 0.2500, 0.0651)  4 Ag 2.97, 1 Sm 3.17
O (0.2500, 0.2500, 0.5000)  4 Sm 2.29
Ag (0.2500, 0.7500, 0.9349)  4 Ag 2.97, 1 Sm 3.17
Sm (0.7500, 0.2500, 0.6520)  4 O 2.29

## Properties
Energy relative to the elements, uncorrected   -1.96 eV per atom
SG   P4/nmm (129)
Total moment   0.00 μB per formula unit
DOS(E_F)   0.41 states/eV/f.u.


Entry 10:
DFT (PBE) results for crystalline K2CoRh at its relaxed geometry.

Cell lengths 6.3010, 5.9940, 2.9236 Å; angles 89.82, 62.74, 114.45 degrees
With the nearest neighbours (Å) after each atom.
Atoms (fractional coordinates):
K (0.0000, 0.0000, 0.0000)  4 K 2.80-2.92
Rh (0.0000, 0.5000, 0.5000)  2 Co 2.80, 2 Rh 2.92
K (0.5000, 0.0000, 0.5000)  4 K 2.80-2.92
Co (0.5000, 0.5000, 0.0000)  2 Rh 2.80, 2 Co 2.92

## Properties
Calculated formation energy   1.025 eV per atom
SG   C2/m (12)
Total moment   2.14 μB per formula unit
DOS(E_F)   4.10 states/eV/f.u.